Computed, not measured: AlCrRu after structural relaxation at the PBE-GGA level of DFT.

Values from the calculation:
Fermi-level density of states ... 1.95 states/eV/cell
Theoretical density ... 7.4 g/cm³
Energy of formation ... 10 meV/atom
Size of the total moment ... 0.0 μB/f.u.

Cell lengths 6.625, 6.404, 2.665 Å; angles 82.88, 73.59, 23.53 degrees
Element x y z (fractional)
1 Cr 0.669 0.669 0.331
2 Al 0.001 0.001 0.999
3 Ru 0.331 0.331 0.669

---

Computed, not measured: AlCr3Ru after structural relaxation at the PBE-GGA level of DFT.

Values from the calculation:
Fermi-level density of states ... 5.52 states/eV/cell
Theoretical density ... 4.8 g/cm³
Energy of formation ... 1239 meV/atom
Energy relative to the lowest polymorph listed for this composition ... 0 meV/atom
Size of the total moment ... 8.6 μB/f.u.

Cell lengths 4.620, 4.620, 4.620 Å; angles 90.00, 90.00, 90.00 degrees
Each line ends with the local moment (μB).
Element x y z (fractional)
1 Cr 0.000 0.500 0.000  2.90
2 Cr 0.500 0.000 0.000  3.21
3 Cr 0.000 0.000 0.500  2.56
4 Ru 0.000 0.000 0.000  -0.47
5 Al 0.500 0.500 0.500  -0.07

---

Computed, not measured: AlCrRu after structural relaxation at the PBE-GGA level of DFT.

Values from the calculation:
Fermi-level density of states ... 2.97 states/eV/cell
Theoretical density ... 7.5 g/cm³
Energy of formation ... -136 meV/atom
Size of the total moment ... 0.0 μB/f.u.

Cell lengths 4.127, 4.127, 2.719 Å; angles 90.00, 90.00, 120.00 degrees
Element x y z (fractional)
1 Cr 0.667 0.333 0.381
2 Ru 0.333 0.667 0.619
3 Al 0.000 0.000 0.000

---

Computed, not measured: AlCrRu after structural relaxation at the PBE-GGA level of DFT.

Values from the calculation:
Fermi-level density of states ... 6.04 states/eV/cell
Theoretical density ... 7.4 g/cm³
Energy of formation ... -113 meV/atom
Size of the total moment ... 0.0 μB/f.u.

Cell lengths 2.743, 2.743, 12.394 Å; angles 90.00, 90.00, 120.00 degrees
Element x y z (fractional)
1 Al 0.611 0.222 0.668
2 Al 0.611 0.222 0.332
3 Cr 0.278 0.555 0.500
4 Cr 0.611 0.223 0.000
5 Ru 0.278 0.556 0.161
6 Ru 0.278 0.556 0.839